DFT (GGA-PBE) results for YSiPt after structural relaxation.

The structure in POSCAR format:
```
YSiPt
1.0
5.7435 0.0112 -0.0122
4.7997 3.1544 -0.0163
0.9438 0.2873 3.1301
Y Si Pt
1 1 1
Cartesian
4.1457 1.2473 2.0765
7.0351 2.1137 1.1258
1.2500 0.3791 3.0294
```

## Properties
ΔE_f (raw) = -71.76 kJ per mole of atoms
SG = I4mm, No. 107

***

DFT (GGA-PBE) results for Mg7Pd4Au after structural relaxation.

The structure in POSCAR format:
```
Mg7Pd4Au
1.0
-0.3029 -2.0955 -4.4662
6.9163 -0.9142 -2.7751
1.6292 -6.8543 0.3705
Pd Mg Au
4 7 1
Cartesian
5.6367 -4.1923 -3.8852
5.8257 -8.7041 -4.5161
2.4169 -1.1598 -2.3547
2.6059 -5.6716 -2.9856
3.5920 -7.4399 -4.9577
4.6506 -2.4240 -1.9131
1.5154 -3.6621 -1.1195
2.2451 -3.3477 -4.0514
-0.1515 -1.0477 -2.2331
6.7272 -6.2018 -5.7513
5.9974 -6.5162 -2.8194
0.0000 0.0000 0.0000
```

## Properties
energy of formation = -41.4 kJ/mol of atoms
SG = C2/m, No. 12

***

DFT (GGA-PBE) results for YTlFe after structural relaxation.

The structure in POSCAR format:
```
YTlFe
1.0
3.7605 0.0000 0.0000
0.0000 5.3714 -0.0844
-1.8802 -1.2582 6.5854
Y Fe Tl
2 2 2
Cartesian
0.0000 1.4044 1.7719
1.8802 2.7089 4.7291
0.0000 4.1566 2.9596
1.8802 -0.0434 3.5414
0.0000 0.0423 5.5873
1.8802 4.0710 0.9138
```

## Properties
energy of formation = -4.5 kJ/mol of atoms
SG = C2/m, No. 12

***

DFT (GGA-PBE) results for NiAsP2 after structural relaxation.

The structure in POSCAR format:
```
NiAsP2
1.0
-2.6156 0.2438 3.3134
1.5418 -3.9247 0.3148
3.0149 2.9642 0.0593
P Ni As
2 1 1
Cartesian
0.0000 0.0000 0.0000
2.0099 -1.4005 1.0941
-0.0688 0.6838 2.5934
-0.5369 -1.8404 1.8141
```

## Properties
energy of formation = 42.9 kJ/mol of atoms
SG = I-4m2, No. 119

***

DFT (GGA-PBE) results for TbLuTe2 after structural relaxation.

The structure in POSCAR format:
```
TbLuTe2
1.0
3.7587 0.0000 0.0000
0.0000 5.3176 0.0000
0.0000 0.0000 5.3176
Te Tb Lu
2 1 1
Cartesian
0.0000 2.6588 0.0000
0.0000 0.0000 2.6588
1.8793 2.6588 2.6588
1.8793 0.0000 0.0000
```

## Properties
ΔE_f (raw) = -105.32 kJ per mole of atoms
offset from the most stable computed form = 0.0000 eV/atom
SG = P4/mmm, No. 123

***

DFT (GGA-PBE) results for LaAgBi2Sb after structural relaxation.

The structure in POSCAR format:
```
LaAgBi2Sb
1.0
-1.8466 0.2957 5.1986
3.6372 -3.6556 1.4999
3.6212 4.0364 1.0567
Bi Ag La Sb
2 1 1 1
Cartesian
-0.9233 0.1479 2.5993
1.8106 2.0182 0.5283
0.0000 0.0000 0.0000
2.7059 0.3382 3.8776
1.8186 -1.8278 0.7499
```

## Properties
ΔE_f (raw) = -1.59 kJ per mole of atoms
SG = P4/mmm, No. 123

***

DFT (GGA-PBE) results for ScBeW after structural relaxation.

The structure in POSCAR format:
```
ScBeW
1.0
4.3929 0.0000 0.0000
-2.1965 3.8044 0.0000
0.0000 0.0000 5.6139
W Sc Be
2 2 2
Cartesian
0.0000 2.5363 0.5963
0.0000 0.0000 1.5347
0.0000 0.0000 4.5144
2.1965 1.2681 2.8007
0.0000 2.5363 3.1157
2.1965 1.2681 0.2205
```

## Properties
energy of formation = 8.0 kJ/mol of atoms
offset from the most stable computed form = 0.0606 eV/atom
SG = P3m1, No. 156

***

DFT (GGA-PBE) results for Pr6AgRu after structural relaxation.

The structure in POSCAR format:
```
Pr6AgRu
1.0
6.8969 0.3669 0.0000
2.0256 7.0518 0.0000
1.0128 3.5259 5.7353
Pr Ru Ag
6 1 1
Cartesian
6.5392 5.5258 0.0000
2.3833 1.8928 0.0000
6.7305 5.8471 3.6394
4.2176 8.6234 3.6394
5.7177 2.3212 2.0959
3.2048 5.0975 2.0959
4.4612 3.7093 0.0000
0.0000 0.0000 0.0000
```

## Properties
energy of formation = 0.6 kJ/mol of atoms
SG = C2/m, No. 12